Density functional theory data (GGA-PBE) for a geometry-optimized InSiAu structure. Values from VASP.

Computed properties:
Magnetic moment = 0.000 μB per atom
Energy relative to the elements, uncorrected = 0.034 eV/atom
Raw total energy = -3.779 eV/atom
Theoretical density = 8.435 Mg/m³

Structure (Quantum ESPRESSO input):
```
&SYSTEM
  ibrav = 0, nat = 6, ntyp = 3
/
ATOMIC_SPECIES
Si 28.09 Si.upf
Au 196.97 Au.upf
In 114.82 In.upf
CELL_PARAMETERS angstrom
6.543 -0.171 0.013
0.362 3.704 -0.209
-0.674 1.325 5.433
ATOMIC_POSITIONS angstrom
Si 5.235 0.575 2.908
Si -0.250 2.571 3.894
Au 5.444 0.733 0.397
Au 3.012 0.437 1.888
In 2.308 1.481 4.406
In 1.143 2.524 1.184
```

=====

Density functional theory data (GGA-PBE) for a geometry-optimized Ho3Tm2N4 structure. Values from VASP.

Computed properties:
Magnetic moment = 0.044 μB per atom
Energy relative to the elements, uncorrected = -1.558 eV/atom
Raw total energy = -7.778 eV/atom
Theoretical density = 10.085 Mg/m³

Structure (Quantum ESPRESSO input):
```
&SYSTEM
  ibrav = 0, nat = 9, ntyp = 3
/
ATOMIC_SPECIES
Ho 164.93 Ho.upf
Tm 168.93 Tm.upf
N 14.01 N.upf
CELL_PARAMETERS angstrom
-2.371 -2.427 0.591
3.252 -0.484 1.024
-3.068 6.028 12.542
ATOMIC_POSITIONS angstrom
Ho -1.670 0.540 5.556
Ho 0.000 0.000 0.000
Ho -0.517 2.578 8.601
Tm -2.980 3.094 10.876
Tm 0.793 0.023 3.280
N -1.382 4.288 12.156
N -3.280 -0.630 4.326
N 1.093 3.747 9.830
N -0.805 -1.170 2.001
```

=====

Density functional theory data (GGA-PBE) for a geometry-optimized Tb2Ho3Ag3 structure. Values from VASP.

Computed properties:
ΔE_f = -219 meV per atom
Magnetic moment = 0.000 μB per atom
Raw total energy = -4.162 eV/atom
Theoretical density = 9.149 Mg/m³

Structure (Quantum ESPRESSO input):
```
&SYSTEM
  ibrav = 0, nat = 8, ntyp = 3
/
ATOMIC_SPECIES
Tb 158.93 Tb.upf
Ho 164.93 Ho.upf
Ag 107.87 Ag.upf
CELL_PARAMETERS angstrom
3.625 0.000 -0.584
-0.197 5.084 -1.223
-0.056 -0.002 11.199
ATOMIC_POSITIONS angstrom
Tb 0.792 3.906 4.915
Tb 2.581 1.176 4.477
Ho 1.261 1.931 7.829
Ho 2.111 3.151 1.563
Ho 1.813 0.000 -0.292
Ag 2.988 4.493 7.004
Ag -0.098 2.542 -0.611
Ag 0.385 0.589 2.389
```

=====

Density functional theory data (GGA-PBE) for a geometry-optimized TbPrDy5Y2 structure. Values from VASP.

Computed properties:
ΔE_f = 156 meV per atom
Magnetic moment = 0.000 μB per atom
Raw total energy = -4.882 eV/atom
Theoretical density = 7.223 Mg/m³

Structure (Quantum ESPRESSO input):
```
&SYSTEM
  ibrav = 0, nat = 18, ntyp = 4
/
ATOMIC_SPECIES
Tb 158.93 Tb.upf
Pr 140.91 Pr.upf
Dy 162.50 Dy.upf
Y 88.91 Y.upf
CELL_PARAMETERS angstrom
-0.883 -4.554 3.209
9.886 2.585 1.432
-2.804 6.243 8.088
ATOMIC_POSITIONS angstrom
Tb 3.768 1.102 7.558
Tb 3.767 0.197 1.317
Pr -1.539 3.721 9.815
Pr 6.602 3.082 6.191
Dy 7.287 0.382 2.548
Dy 1.401 2.924 9.492
Dy 6.974 4.897 8.868
Dy 3.643 4.606 7.539
Dy 7.178 1.301 8.779
Dy 0.186 1.055 6.505
Dy 4.453 2.119 4.232
Dy -0.703 -0.784 3.652
Dy 2.789 -0.852 4.517
Dy 0.279 0.171 0.320
Y 4.551 3.084 10.586
Y 0.038 4.649 6.608
Y 1.251 2.072 3.284
Y 6.252 -0.578 5.858
```

=====

Density functional theory data (GGA-PBE) for a geometry-optimized CaNbGeC2 structure. Values from VASP.

Computed properties:
ΔE_f = 863 meV per atom
Magnetic moment = 0.000 μB per atom
Raw total energy = -6.164 eV/atom
Theoretical density = 4.132 Mg/m³

Structure (Quantum ESPRESSO input):
```
&SYSTEM
  ibrav = 0, nat = 5, ntyp = 4
/
ATOMIC_SPECIES
C 12.01 C.upf
Nb 92.91 Nb.upf
Ca 40.08 Ca.upf
Ge 72.64 Ge.upf
CELL_PARAMETERS angstrom
4.289 0.000 0.000
0.000 5.016 0.000
0.000 0.000 4.289
ATOMIC_POSITIONS angstrom
C 0.000 0.000 2.145
C 2.145 0.000 0.000
Nb 0.000 0.000 0.000
Ca 2.145 2.508 2.145
Ge 0.000 2.508 0.000
```

=====

Density functional theory data (GGA-PBE) for a geometry-optimized Hg5Au6 structure. Values from VASP.

Computed properties:
ΔE_f = 19 meV per atom
Magnetic moment = 0.000 μB per atom
Raw total energy = -1.906 eV/atom
Theoretical density = 15.584 Mg/m³

Structure (Quantum ESPRESSO input):
```
&SYSTEM
  ibrav = 0, nat = 22, ntyp = 2
/
ATOMIC_SPECIES
Hg 200.59 Hg.upf
Au 196.97 Au.upf
CELL_PARAMETERS angstrom
7.196 0.000 0.000
-3.598 6.232 0.000
0.000 0.000 10.381
ATOMIC_POSITIONS angstrom
Hg 4.212 0.000 2.595
Hg 2.106 3.647 7.786
Hg -1.492 2.585 7.786
Hg -2.106 3.647 2.595
Hg 1.492 2.585 2.595
Hg 2.985 0.000 7.786
Hg 0.000 4.155 0.000
Hg 3.598 2.077 5.190
Hg 3.598 2.077 0.000
Hg 0.000 4.155 5.190
Au 1.717 0.000 1.152
Au 0.859 1.487 6.343
Au -2.740 4.745 6.343
Au -0.859 1.487 1.152
Au 2.740 4.745 1.152
Au 1.717 0.000 4.038
Au 2.740 4.745 4.038
Au 5.479 0.000 6.343
Au -0.859 1.487 4.038
Au -2.740 4.745 9.228
Au 5.479 0.000 9.228
Au 0.859 1.487 9.228
```

=====

Density functional theory data (GGA-PBE) for a geometry-optimized NaTcAs2O8 structure. Values from VASP.

Computed properties:
Magnetic moment = 0.162 μB per atom
Energy relative to the elements, uncorrected = -1.034 eV/atom
Raw total energy = -6.088 eV/atom
Theoretical density = 4.610 Mg/m³

Structure (Quantum ESPRESSO input):
```
&SYSTEM
  ibrav = 0, nat = 12, ntyp = 4
/
ATOMIC_SPECIES
Na 22.99 Na.upf
Tc 98.00 Tc.upf
As 74.92 As.upf
O 16.00 O.upf
CELL_PARAMETERS angstrom
-5.472 -1.021 1.374
2.326 -3.560 -3.845
3.022 -0.644 4.829
ATOMIC_POSITIONS angstrom
Na 0.000 0.000 0.000
Tc 1.888 -3.247 -0.126
As -2.011 -1.978 2.483
As -1.573 -2.290 -1.236
O -0.943 -0.760 1.881
O 0.054 -2.334 -0.605
O 0.925 -1.287 3.828
O -1.812 -1.351 4.081
O -2.616 -3.427 -0.421
O -3.593 -2.154 1.811
O -1.696 -3.645 2.160
O 1.392 -3.402 1.913
```

=====

Density functional theory data (GGA-PBE) for a geometry-optimized Er4CoBi structure. Values from VASP.

Computed properties:
ΔE_f = -146 meV per atom
Magnetic moment = 0.000 μB per atom
Raw total energy = -5.019 eV/atom
Theoretical density = 8.140 Mg/m³
Distance to the lowest polymorph of the same formula = 232 meV/atom

Structure (Quantum ESPRESSO input):
```
&SYSTEM
  ibrav = 0, nat = 12, ntyp = 3
/
ATOMIC_SPECIES
Er 167.26 Er.upf
Co 58.93 Co.upf
Bi 208.98 Bi.upf
CELL_PARAMETERS angstrom
5.052 0.000 0.000
-2.526 10.620 -1.558
0.000 -4.873 7.840
ATOMIC_POSITIONS angstrom
Er 0.000 -1.112 2.000
Er 0.000 -0.602 7.059
Er 2.526 3.999 1.850
Er 2.526 -0.993 4.734
Er 0.000 6.740 1.548
Er 0.000 1.748 4.432
Er 2.526 6.349 -0.777
Er 2.526 6.859 4.282
Co 0.000 -1.224 4.562
Co 2.526 6.971 1.720
Bi 0.000 1.969 1.299
Bi 2.526 3.778 4.982
```